Entry 1:
Below is a relaxed CdFeCo crystal, with properties calculated at the GGA-PBE level.

Unit cell a=4.2551 b=4.2551 c=2.7231 alpha=90.00 beta=90.00 gamma=120.00
Space group P3m1 (No. 156)
Symmetry-distinct sites (fractional):
Cd 0.0000 0.0000 0.0000 [1 per cell]
Fe 0.3333 0.6667 0.5808 [1 per cell]
Co 0.6667 0.3333 0.4140 [1 per cell]

ΔE to the lowest computed polymorph: 231.8 meV/atom
energy relative to the elements: 299 meV per atom


Entry 2:
Below is a relaxed CdFeCo2 crystal, with properties calculated at the GGA-PBE level.

Unit cell a=2.996 b=4.335 c=8.390 alpha=90.00 beta=90.00 gamma=90.00
Space group Cmmm (No. 65)
Symmetry-distinct sites (fractional):
Cd 0.000 0.000 0.000 [2 per cell]
Fe 0.000 0.000 0.500 [2 per cell]
Co 0.000 0.500 0.278 [4 per cell]

energy relative to the elements: 263 meV per atom